Compound: Cs2Co3Cl9
Source: Alexandria
Functional: PBE-GGA
Structure: optimized geometry

The density of states at the Fermi level is 44.639 states/eV per cell. Its uncorrected formation energy is -92 kJ per mole of atoms.

The structure belongs to space group C2/m (No. 12); the cell edges are 11.9887, 17.4012 and 10.8100 Å and the angles 90.00°, 116.64° and 90.00°. The asymmetric unit holds Cs at (0.0775, 0.1799, 0.2938), Co at (0.1741, 0.3907, 0.1348), Co at (0.2155, 0.5000, 0.8052), Cl at (0.0000, 0.3192, 0.0000), Cl at (0.0955, 0.0000, 0.1872), Cl at (0.1008, 0.5000, 0.1834), Cl at (0.1208, 0.3991, 0.6824), Cl at (0.2086, 0.1716, 0.6697) and Cl at (0.2155, 0.0943, 0.9805).